LiV3Cr | PBE | optimized geometry

Results
E above lowest polymorph in eV/atom: 0.375
D(E_F) in states/eV per atom: 1.6312
DFT total energy in Ry/atom: -0.47498
E_form in meV per atom: 1316
Density in g/cm3: 5.05

Cell lengths 4.115, 4.115, 4.115 Å; angles 90.00, 90.00, 90.00 degrees
Space group Pm-3m (No. 221)
Unique sites:
Li (0.000, 0.000, 0.000) [1 per cell]
V (0.000, 0.000, 0.500) [3 per cell]
Cr (0.500, 0.500, 0.500) [1 per cell]